First-principles (GGA-PBE) data for a geometry-optimized RbSnF3 structure, as listed in Alexandria.

abc: 4.555 4.555 11.218
angles: 78.29 78.29 90.00
Fractional positions:
F 0.686 0.686 0.628
F 0.114 0.868 0.771
F 0.314 0.314 0.372
F 0.114 0.361 0.771
F 0.639 0.886 0.229
F 0.132 0.886 0.229
Rb 0.250 0.750 0.500
Rb 0.000 0.000 0.000
Sn 0.638 0.138 0.724
Sn 0.862 0.362 0.276

Output
Its space-group type is I-4m2. For the energy relative to the elements, uncorrected, the calculation gives -1.91 eV/atom.

First-principles (GGA-PBE) data for a geometry-optimized LiHoSn6 structure, as listed in Alexandria.

abc: 4.640 6.608 6.608
angles: 89.66 90.00 90.00
Fractional positions:
Sn 0.000 0.259 0.259
Sn 0.000 0.260 0.740
Sn 0.500 0.000 0.500
Sn 0.500 0.500 0.000
Sn 0.000 0.740 0.260
Sn 0.000 0.741 0.741
Ho 0.500 0.000 0.000
Li 0.500 0.500 0.500

Output
Its space-group type is Cmmm. The value obtained for the total energy is -4.095 eV per atom.

First-principles (GGA-PBE) data for a geometry-optimized SrSbHRh2 structure, as listed in Alexandria.

abc: 4.086 6.133 7.540
angles: 90.00 90.00 109.45
Fractional positions:
Rh 0.155 0.311 0.949
Rh 0.155 0.311 0.551
Rh 0.845 0.689 0.449
Rh 0.845 0.689 0.051
Sr 0.449 0.897 0.750
Sr 0.551 0.103 0.250
H 0.000 0.000 0.500
H 0.000 0.000 0.000
Sb 0.724 0.449 0.750
Sb 0.276 0.551 0.250

Output
Its space-group type is Cmcm. The value obtained for the total energy is -5.327 eV per atom.